First-principles (PBE with a Hubbard U) data for YWNF2 after structural relaxation, as listed in Alexandria.

Computed properties:
- DOS at the Fermi energy: 0.33 states/eV/atom
- Final energy: -31.530 eV per formula unit
- ΔE to the lowest computed polymorph: 0.104 eV/atom

a = 4.200 Å, b = 4.200 Å, c = 4.395 Å
α = 90.00°, β = 90.00°, γ = 90.00°
Atoms (fractional coordinates):
Y: 0.000 0.000 0.000
W: 0.500 0.500 0.500
N: 0.500 0.500 0.000
F: 0.000 0.500 0.500
F: 0.500 0.000 0.500